1.
16
Lattice="-0.0202 -3.5287 3.0837 4.2451 -1.3200 -1.4827 7.9150 11.1127 12.7683" Properties=species:S:1:pos:R:3 comment="Na3LiIn12 GGA-PBE optimized geometry" formation_energy_ev_per_atom=-0.0949 space_group=P4/mmm pbc="T T T"
In 6.9702 8.0360 12.8024
In 2.9427 2.3813 6.3052
In 8.0818 5.9565 10.4301
In 6.0700 3.1319 7.1847
In 7.0848 6.3070 7.2636
In 9.1029 9.1404 10.5192
In 0.9246 -0.4521 3.0497
In 3.0572 0.6523 0.7665
In 5.0753 3.4857 4.0220
In 2.1124 -2.4244 0.8005
In 4.0582 0.3074 3.9393
In 4.9521 5.2026 9.5468
Na 1.9414 2.7258 3.1319
Na 5.9736 8.3869 9.6364
Na 3.9575 5.5563 6.3842
Li 0.0000 0.0000 0.0000

2.
13
Lattice="-3.5512 3.0074 3.6071 -7.3864 -0.4714 -2.0736 -2.5460 -4.2722 5.8607" Properties=species:S:1:pos:R:3 comment="NaLi4In8 GGA-PBE optimized geometry" formation_energy_ev_per_atom=-0.1950 space_group=I4/mmm pbc="T T T"
In -4.2027 -2.9714 3.1451
In -10.3038 -1.5343 5.5510
In -5.7297 -1.7723 0.6420
In -5.7352 0.3545 3.6687
In -5.3867 -1.9322 5.9183
In -8.0969 0.1959 1.4759
In -7.7484 -2.0908 3.7255
In -3.1798 -0.2019 1.8432
Na 0.0000 0.0000 0.0000
Li -1.2730 -2.1361 2.9303
Li -3.0486 -0.6324 4.7339
Li -5.4688 1.2680 0.7668
Li -3.6932 -0.2357 -1.0368

3.
19
Lattice="-5.1971 -5.0221 4.1465 -3.8094 -4.5388 -5.8578 3.7830 -7.4221 0.1662" Properties=species:S:1:pos:R:3 comment="Na2Li2In15 GGA-PBE optimized geometry" formation_energy_ev_per_atom=-0.0202 space_group=R-3m pbc="T T T"
In -1.9047 -2.2694 -2.9289
In 1.1613 -6.7214 1.3282
In 1.5664 -6.5803 -1.5925
In -4.4030 -8.8870 1.2957
In -3.7686 -8.6661 -3.2773
In -1.5928 -5.3806 -4.0991
In -2.5754 -5.7228 2.9845
In -4.7920 -4.8810 1.2258
In -4.9254 -6.9990 -1.0213
In -4.2145 -4.6799 -2.9371
In 1.8915 -3.7110 0.0831
In -2.5986 -2.5111 2.0733
In -0.8206 -8.0960 -2.8408
In -0.2982 -9.9841 -0.5237
In -1.4549 -8.3169 1.7322
Li -4.7012 -15.2845 -1.3905
Li -0.5224 -1.6985 -0.1545
Na -1.6098 -5.2339 -0.4762
Na -3.6137 -11.7491 -1.0689

4.
16
Lattice="4.4272 0.0000 0.0000 -2.2136 9.5311 0.0000 0.0000 0.0000 10.4499" Properties=species:S:1:pos:R:3 comment="Na2LiIn5 GGA-PBE optimized geometry" formation_energy_ev_per_atom=-0.0759 space_group=Cmcm pbc="T T T"
In 2.2136 5.5299 4.1718
In 0.0000 4.0012 6.2781
In 2.2136 2.4240 0.3907
In 0.0000 4.0012 9.3967
In 2.2136 2.1390 7.8374
In 2.2136 2.4240 4.8343
In 2.2136 5.5299 1.0532
In 0.0000 7.3921 2.6125
In 0.0000 7.1070 5.6156
In 0.0000 7.1071 10.0592
Li 0.0000 8.8434 7.8374
Li 2.2136 0.6876 2.6125
Na 0.0000 0.0000 0.0000
Na 0.0000 0.0000 5.2249
Na 2.2136 6.0463 7.8374
Na 0.0000 3.4848 2.6125

5.
5
Lattice="5.1210 0.0000 0.0000 0.0000 5.1210 0.0000 0.0000 0.0000 5.1210" Properties=species:S:1:pos:R:3 comment="NaLiIn3 GGA-PBE optimized geometry" formation_energy_ev_per_atom=0.0339 space_group=Pm-3m polymorph_energy_mev_per_atom=170 pbc="T T T"
In 2.5605 0.0000 0.0000
In 0.0000 0.0000 2.5605
In 0.0000 2.5605 0.0000
Na 2.5605 2.5605 2.5605
Li 0.0000 0.0000 0.0000

6.
8
Lattice="5.0049 0.0000 0.0000 0.0000 6.1102 -0.1976 0.0000 -2.8824 5.3912" Properties=species:S:1:pos:R:3 comment="NaLi6In GGA-PBE optimized geometry" formation_energy_ev_per_atom=-0.1006 space_group=P-6m2 pbc="T T T"
Li 2.5025 3.9215 3.0442
Li 0.0000 2.4374 2.0850
Li 0.0000 -0.7718 2.1863
Li 2.5025 2.2344 0.3296
Li 0.0000 0.9257 4.9177
Li 2.5025 5.4308 0.2246
In 0.0000 -2.1324 4.9251
Na 2.5025 0.8627 3.0637

7.
10
Lattice="8.4920 0.0000 0.0000 0.0000 8.4920 0.0000 0.0000 0.0000 3.4917" Properties=species:S:1:pos:R:3 comment="Na2Li2In GGA-PBE optimized geometry" formation_energy_ev_per_atom=0.0577 space_group=P4/mbm polymorph_energy_mev_per_atom=74 pbc="T T T"
Li 5.6964 7.0416 1.7459
Li 2.7956 1.4504 1.7459
Li 1.4504 5.6964 1.7459
Li 7.0416 2.7956 1.7459
Na 5.3820 1.1360 0.0000
Na 1.1360 3.1100 0.0000
Na 3.1100 7.3559 0.0000
Na 7.3559 5.3820 0.0000
In 4.2460 4.2460 0.0000
In 0.0000 0.0000 0.0000

8.
5
Lattice="-5.4698 -1.6441 1.5812 1.4696 -5.6819 -0.8240 1.7445 -0.3685 5.6518" Properties=species:S:1:pos:R:3 comment="Na3LiIn GGA-PBE optimized geometry" formation_energy_ev_per_atom=0.2419 space_group=Pm-3m polymorph_energy_mev_per_atom=309 pbc="T T T"
Na 0.8723 -0.1842 2.8259
Na 0.7348 -2.8409 -0.4120
Na -2.7349 -0.8220 0.7906
In 0.0000 0.0000 0.0000
Li -1.1279 -3.8472 3.2045

9.
5
Lattice="4.4812 0.0011 1.9489 1.8160 4.0968 1.9489 0.1104 0.0718 5.8738" Properties=species:S:1:pos:R:3 comment="NaLi2In2 GGA-PBE optimized geometry" formation_energy_ev_per_atom=-0.2221 space_group=R-3m polymorph_energy_mev_per_atom=0 pbc="T T T"
Li 3.5657 3.7779 7.1162
Li 2.8419 0.3919 2.6553
In 4.1413 1.2374 5.7938
In 2.2663 2.9323 3.9777
Na 0.9080 2.0484 0.9744

10.
10
Lattice="-5.5708 -7.2947 1.1237 6.9692 -5.6624 -2.2084 0.8555 -0.1702 3.1361" Properties=species:S:1:pos:R:3 comment="Na2LiIn2 GGA-PBE optimized geometry" formation_energy_ev_per_atom=0.0132 space_group=P4/mbm polymorph_energy_mev_per_atom=59 pbc="T T T"
Na 3.9405 -7.0551 -1.4578
Na 0.0959 -9.8419 -0.5603
Na 1.3025 -3.1153 -0.5244
Na -2.5421 -5.9021 0.3731
In 3.0628 -9.5965 0.3331
In 4.0850 -4.5166 0.3299
In -1.8312 -8.6107 1.7216
In -0.8089 -3.5309 1.7184
Li 0.6992 -6.4786 -0.5423
Li 0.0000 0.0000 0.0000

11.
14
Lattice="-4.1532 -3.4219 5.2118 2.2109 -6.6636 -2.6133 5.8296 0.0894 4.7042" Properties=species:S:1:pos:R:3 comment="NaLi3In3 GGA-PBE optimized geometry" formation_energy_ev_per_atom=0.2191 space_group=Pm-3n pbc="T T T"
Li 4.5730 -4.9530 0.3921
Li -0.6192 -1.6886 3.7819
Li 2.2956 -1.6439 6.1340
Li -2.0094 -5.8982 2.6022
Li 0.0672 -4.1873 -0.0037
Li 3.4675 -1.6212 1.6988
In 1.8765 -0.8108 3.6550
In -0.4184 -6.7086 0.6459
In 2.5629 -3.3094 -0.1306
In -1.5238 -3.3768 1.9526
In -0.2001 -2.5217 6.2609
In 5.4776 -3.2648 2.2215
Na 1.9437 -4.9980 3.6513
Na 0.0000 0.0000 0.0000

12.
19
Lattice="8.1726 -0.1540 0.5098 0.4693 8.1606 0.5098 -0.1663 -0.1540 8.1868" Properties=species:S:1:pos:R:3 comment="Na12LiIn6 GGA-PBE optimized geometry" formation_energy_ev_per_atom=-0.0971 space_group=R-3 pbc="T T T"
Na 6.7903 4.0579 4.1475
Na 5.3589 7.6371 7.7667
Na 3.7568 6.4613 4.8903
Na 4.1572 4.5991 2.0970
Na 7.0782 4.7612 8.6368
Na 4.7189 1.3912 4.3161
Na 0.3046 1.1578 3.2249
Na 1.6853 3.7946 5.0589
Na 8.1711 6.6947 5.9815
Na 3.1168 0.2154 1.4397
Na 1.3975 3.0913 0.5696
Na 4.3184 3.2534 7.1094
Li 0.0000 0.0000 0.0000
In 6.2109 1.8940 1.4119
In 1.2122 6.0484 2.4704
In 6.5190 7.1048 2.9002
In 1.9567 0.7476 6.3062
In 2.2648 5.9585 7.7945
In 7.2635 1.8040 6.7360

13.
5
Lattice="-5.0371 2.2206 -0.5380 -2.2550 -5.0413 0.3053 -0.3678 0.4973 5.4964" Properties=species:S:1:pos:R:3 comment="Na3LiIn GGA-PBE optimized geometry" formation_energy_ev_per_atom=0.2667 space_group=Pm-3m polymorph_energy_mev_per_atom=333 pbc="T T T"
Li 0.0000 0.0000 0.0000
Na -2.5186 1.1103 -0.2690
Na -1.1275 -2.5207 0.1526
Na -0.1839 0.2487 2.7482
In -3.8300 -1.1617 2.6318

14.
10
Lattice="5.2707 0.0000 0.0000 0.0000 7.6694 0.2090 0.0000 -3.1958 6.9750" Properties=species:S:1:pos:R:3 comment="NaLi2In7 GGA-PBE optimized geometry" formation_energy_ev_per_atom=0.0777 space_group=Cmmm pbc="T T T"
In 2.6354 2.2048 0.5078
In 0.0000 4.6176 2.1094
In 0.0000 -0.1440 5.0746
In 2.6354 2.2368 3.5920
In 2.6354 2.2688 6.6762
In 2.6354 4.9905 4.9813
In 2.6354 -0.5169 2.2027
Li 2.6354 4.4636 2.2053
Li 2.6354 0.0100 4.9786
Na 0.0000 0.0000 0.0000

15.
13
Lattice="5.5145 -0.2200 2.2974 2.4469 7.6115 1.0194 -0.1975 -0.1100 8.2408" Properties=species:S:1:pos:R:3 comment="NaLiIn11 GGA-PBE optimized geometry" formation_energy_ev_per_atom=-0.0294 space_group=C2/m pbc="T T T"
In -0.0987 -0.0550 4.1204
In 2.6585 -0.1650 5.2691
In 1.5873 4.8000 3.5636
In 3.1240 1.4161 7.9273
In 6.1765 2.4815 7.9940
In 2.1164 1.5261 2.5790
In 4.3134 2.5915 4.6993
In 5.6475 5.7554 8.9787
In 4.6399 5.8654 3.6303
In 3.4505 4.6900 6.8583
In 1.2234 3.8058 0.5097
Na 0.0000 0.0000 0.0000
Li 3.9807 3.6958 1.6584

16.
5
Lattice="-3.3898 0.5516 -1.8712 0.7136 -3.1408 -2.2186 -5.5391 -6.5338 4.0210" Properties=species:S:1:pos:R:3 comment="Na2Li2In GGA-PBE optimized geometry" formation_energy_ev_per_atom=0.0920 space_group=I4/mmm polymorph_energy_mev_per_atom=109 pbc="T T T"
In 0.0000 0.0000 0.0000
Na -6.0176 -6.7564 0.7349
Na -2.1977 -2.3666 -0.8037
Li -3.0818 -5.4846 -0.1213
Li -5.1335 -3.6384 0.0524

17.
29
Lattice="-6.3067 1.0435 -7.9576 -5.0030 -4.1152 7.8881 3.6245 9.2107 2.7004" Properties=species:S:1:pos:R:3 comment="Na17LiIn11 GGA-PBE optimized geometry" formation_energy_ev_per_atom=-0.1095 space_group=Cm pbc="T T T"
Na -1.6672 8.5351 0.4290
Na -4.4117 8.7834 -2.4824
Na -5.1425 2.8678 -1.4206
Na -7.6555 6.1353 2.6273
Na -6.8176 0.4445 0.7056
Na -3.5681 5.4453 7.7711
Na 1.2144 3.1825 0.9362
Na -1.8419 0.4319 5.5010
Na -2.6947 3.7758 5.0454
Na -2.0015 5.4074 1.9251
Na -4.7318 1.2427 3.5712
Na -3.2263 5.8790 -1.4150
Na -4.9883 4.0250 1.7208
Na -2.6122 3.4798 -3.8610
Na 0.5844 4.1835 4.0327
Na -1.2994 7.0800 4.8987
Na 0.1824 5.7743 -0.8539
In -2.8496 6.6691 -4.7747
In -5.4547 1.7974 -4.5330
In -1.9495 2.9730 -0.4537
In -1.7878 2.4676 8.1307
In -8.2947 -1.7425 -1.4998
In -8.0558 -2.6875 1.4028
In -4.6315 -1.4601 5.4727
In -1.7156 2.0473 2.3896
In -0.2004 4.9484 7.1793
In -1.0214 8.1970 -2.7992
In 0.8975 7.0264 2.2137
Li -3.2928 0.5299 0.4434

18.
9
Lattice="-1.4909 2.7790 -1.7136 -4.2989 2.0021 6.9874 8.4044 1.8978 -0.4760" Properties=species:S:1:pos:R:3 comment="NaLi2In6 GGA-PBE optimized geometry" formation_energy_ev_per_atom=-0.1430 space_group=Immm pbc="T T T"
Li 1.5339 1.1939 0.6016
Li 1.0807 5.4850 4.1962
In -1.4807 1.7319 0.3382
In -4.3092 3.0492 4.9357
In 2.7913 3.1059 2.6084
In -1.6772 4.2717 4.6282
In 4.2917 2.4072 0.1697
In -0.1767 3.5729 2.1894
Na -2.1495 1.0011 3.4937

19.
7
Lattice="4.9105 0.0000 -1.3623 -0.1541 5.5743 -0.5553 -1.1226 1.0679 5.4846" Properties=species:S:1:pos:R:3 comment="NaLi4In2 GGA-PBE optimized geometry" formation_energy_ev_per_atom=-0.0541 space_group=C2/m pbc="T T T"
Li 0.6425 1.3646 2.3159
Li 2.9913 5.2776 1.2511
Li -0.0770 2.7871 -0.2776
Li 2.4553 0.0000 -0.6812
In 0.7886 4.1428 2.8425
In 2.8452 2.4993 0.7245
Na 0.0000 0.0000 0.0000

20.
30
Lattice="6.9470 0.0000 0.0000 0.0000 6.9470 0.0000 0.0000 0.0000 17.5993" Properties=species:S:1:pos:R:3 comment="Na2LiIn12 GGA-PBE optimized geometry" formation_energy_ev_per_atom=-0.0383 space_group=P4/nbm pbc="T T T"
In 0.0000 0.0000 3.2073
In 3.4735 3.4735 6.0550
In 2.3480 1.1255 10.0269
In 1.1255 2.3480 7.5724
In 5.8215 4.5991 7.5724
In 5.2125 1.7390 1.5092
In 4.5991 1.1255 7.5724
In 3.4735 3.4735 3.2073
In 4.5991 5.8215 10.0269
In 1.7390 1.7345 1.5092
In 3.4735 3.4735 11.5443
In 5.2125 5.2080 16.0900
In 1.1255 4.5991 10.0269
In 5.2080 1.7345 16.0900
In 5.2080 5.2125 1.5092
In 5.8215 2.3480 10.0269
In 0.0000 0.0000 11.5443
In 3.4735 3.4735 14.3920
In 1.7390 5.2125 16.0900
In 1.7345 5.2080 1.5092
In 0.0000 0.0000 14.3920
In 1.7345 1.7390 16.0900
In 2.3480 5.8215 7.5724
In 0.0000 0.0000 6.0550
Na 0.0000 3.4735 4.3679
Na 3.4735 0.0000 13.2314
Na 0.0000 3.4735 13.2314
Na 3.4735 0.0000 4.3679
Li 0.0000 3.4735 0.0000
Li 3.4735 0.0000 0.0000